(1)
Here is an optimized crystal structure of Cs2Mg2InCl7 from Alexandria via LeMat-Bulk. Energies are from PBE.

a = 5.1030 Å, b = 5.1030 Å, c = 14.0290 Å
α = 79.51°, β = 79.51°, γ = 89.98°
Fractional positions:
Cs1 0.8172 0.8172 0.3640
Cs2 0.1828 0.1828 0.6360
Mg1 0.5935 0.5935 0.8138
Mg2 0.4065 0.4065 0.1862
In1 0.0000 0.0000 0.0000
Cl1 0.5000 0.5000 0.0000
Cl2 0.3143 0.3143 0.3707
Cl3 0.6857 0.6857 0.6293
Cl4 0.9098 0.4099 0.1802
Cl5 0.4099 0.9098 0.1802
Cl6 0.5901 0.0902 0.8198
Cl7 0.0902 0.5901 0.8198

- formation energy (no corrections) (kJ/mol of formula units) = -2001
- ρ (kg/m³) = 3187
- total moment (μB/cell) = 0.00

---

(2)
Here is an optimized crystal structure of CsMgIn2Cl8 from Alexandria via LeMat-Bulk. Energies are from PBE.

a = 6.7181 Å, b = 6.7181 Å, c = 10.4482 Å
α = 71.25°, β = 71.25°, γ = 60.00°
Site moments in Bohr magnetons follow the coordinates.
Fractional positions:
Cs1 0.5000 0.5000 0.5000  0.00
Mg1 0.0000 0.0000 0.0000  0.00
In1 0.2670 0.2670 0.1990  0.12
In2 0.7330 0.7330 0.8010  0.12
Cl1 0.1830 0.1830 0.4511  0.03
Cl2 0.6594 0.2732 0.1513  0.04
Cl3 0.8170 0.8170 0.5489  0.03
Cl4 0.9161 0.6594 0.1513  0.04
Cl5 0.0839 0.3406 0.8487  0.04
Cl6 0.2732 0.9161 0.1513  0.04
Cl7 0.7268 0.0839 0.8487  0.04
Cl8 0.3406 0.7268 0.8487  0.04

- formation energy (no corrections) (kJ/mol of formula units) = -1525
- ρ (kg/m³) = 2936
- total moment (μB/cell) = 0.70